First-principles (GGA-PBEsol) data for Cu3Ag after structural relaxation, as listed in the Alexandria database.

The electronic total energy comes out at -4.001 eV/atom. For the spin magnetization, the calculation gives 0.00 μB/cell. The value obtained for the energy of formation from the pure elements is 0.077 eV/atom.

The structure belongs to space group Pmmm (No. 47); the cell edges are 2.646, 3.526 and 5.432 Å and the angles 90.00°, 90.00° and 90.00°. Symmetry generates all atoms from Cu at (0.000, 0.000, 0.000), Cu at (0.500, 0.500, 0.228) and Ag at (0.000, 0.000, 0.500).